First-principles (PBE) data for Cs2AcTc2O7 after structural relaxation, as listed in Alexandria.

Computed properties:
E_form (uncorrected): -1873 meV per atom
total magnetic moment: 4.0 Bohr magnetons per cell

Cell and atoms, written as CIF:
```
data_Cs2AcTc2O7
_symmetry_space_group_name_H-M 'P 1'
_symmetry_Int_Tables_number 1
_cell_length_a 4.055
_cell_length_b 4.055
_cell_length_c 12.432
_cell_angle_alpha 80.62
_cell_angle_beta 80.62
_cell_angle_gamma 90.00
loop_
_symmetry_equiv_pos_as_xyz
'x,y,z'
loop_
_atom_site_label
_atom_site_type_symbol
_atom_site_fract_x
_atom_site_fract_y
_atom_site_fract_z
Tc1 Tc 0.414 0.414 0.172
O1 O 0.500 0.500 0.000
Ac1 Ac 0.000 0.000 0.000
O2 O 0.576 0.076 0.847
O3 O 0.337 0.337 0.326
O4 O 0.424 0.924 0.153
Cs1 Cs 0.814 0.814 0.372
O5 O 0.663 0.663 0.674
O6 O 0.924 0.424 0.153
Cs2 Cs 0.186 0.186 0.628
Tc2 Tc 0.586 0.586 0.828
O7 O 0.076 0.576 0.847
```